Material: Y3Ho2Sc4
Method: DFT, PBE
State: relaxed

The formation energy comes out at 46 meV/atom. For the energy above the most stable polymorph in this dataset, the calculation gives 0.0 meV per atom. Its total DFT energy (no corrections) is -106.9 eV per cell.

Lattice parameters (Å, degrees): 6.545 8.267 10.282 78.14 74.78 76.29
Space group P-1 (No. 2)
Symmetry-distinct sites (fractional):
Y: 0.118 0.173 0.203 x2
Y: 0.121 0.177 0.534 x2
Y: 0.264 0.522 0.950 x2
Ho: 0.117 0.169 0.868 x2
Ho: 0.412 0.830 0.374 x2
Sc: 0.258 0.522 0.290 x2
Sc: 0.259 0.525 0.617 x2
Sc: 0.410 0.839 0.041 x2
Sc: 0.415 0.833 0.710 x2

=====

Material: SiOs4W
Method: DFT, PBE
State: relaxed

As for the uncorrected formation energy: 4.9 eV/f.u. Its total DFT energy (no corrections) is -233.6 eV per cell.

Lattice parameters (Å, degrees): 7.227 7.227 7.227 90.00 90.00 90.00
Space group F-43m (No. 216)
Symmetry-distinct sites (fractional):
Si: 0.000 0.000 0.000 x4
Os: 0.125 0.125 0.375 x16
W: 0.250 0.250 0.750 x4